No. 1
Compound: TaFe2P
Source: Alexandria
Functional: meta-GGA SCAN
Structure: single point on PBEsol structure

The calculation puts the calculated density at 10.6 g/cm3. The value obtained for the total DFT energy (no corrections) is -28.548 eV per atom. Its calculated formation energy is -0.237 eV/atom.

The structure belongs to space group Cm (No. 8); the cell edges are 8.122, 3.149 and 4.482 Å and the angles 90.00°, 117.34° and 90.00°. The asymmetric unit holds Ta at (0.000, 0.000, 0.000), Fe at (0.211, 0.000, 0.733), Fe at (0.425, 0.000, 0.420) and P at (0.227, 0.500, 0.406).



No. 2
Compound: Ta2FeP
Source: Alexandria
Functional: meta-GGA SCAN
Structure: single point on PBEsol structure

The calculation puts the calculated density at 13.1 g/cm3. The value obtained for the total DFT energy (no corrections) is -40.686 eV per atom. Its calculated formation energy is -0.262 eV/atom.

The structure belongs to space group Cmmm (No. 65); the cell edges are 5.408, 6.838 and 3.070 Å and the angles 90.00°, 90.00° and 90.00°. The asymmetric unit holds Ta at (0.250, 0.250, 0.000), Fe at (0.000, 0.000, 0.500) and P at (0.000, 0.500, 0.500).



No. 3
Compound: Fe2Tc2P
Source: Alexandria
Functional: meta-GGA SCAN
Structure: single point on PBEsol structure

The calculation puts the calculated density at 8.2 g/cm3. The value obtained for the total DFT energy (no corrections) is -22.647 eV per atom. Its calculated formation energy is 0.708 eV/atom.

The structure belongs to space group I4/mmm (No. 139); the cell edges are 3.651, 3.651 and 10.264 Å and the angles 90.00°, 90.00° and 90.00°. The asymmetric unit holds Fe at (0.000, 0.000, 0.101), Tc at (0.000, 0.500, 0.250) and P at (0.000, 0.000, 0.500).



No. 4
Compound: FeTc2P2
Source: Alexandria
Functional: meta-GGA SCAN
Structure: single point on PBEsol structure

The calculation puts the calculated density at 7.7 g/cm3. The value obtained for the total DFT energy (no corrections) is -21.853 eV per atom. Its calculated formation energy is -0.044 eV/atom.

The structure belongs to space group I4/mmm (No. 139); the cell edges are 3.362, 3.362 and 12.001 Å and the angles 90.00°, 90.00° and 90.00°. The asymmetric unit holds Fe at (0.000, 0.000, 0.000), Tc at (0.000, 0.000, 0.388) and P at (0.000, 0.500, 0.250).



No. 5
Compound: FeTc2P
Source: Alexandria
Functional: meta-GGA SCAN
Structure: single point on PBEsol structure

The calculation puts the calculated density at 9.5 g/cm3. The value obtained for the total DFT energy (no corrections) is -24.662 eV per atom. Its calculated formation energy is 0.000 eV/atom.

The structure belongs to space group I-4m2 (No. 119); the cell edges are 3.585, 3.585 and 7.676 Å and the angles 90.00°, 90.00° and 90.00°. The asymmetric unit holds Fe at (0.000, 0.000, 0.000), Tc at (0.000, 0.000, 0.500), Tc at (0.000, 0.500, 0.750) and P at (0.000, 0.500, 0.250).



No. 6
Compound: FeTc2P
Source: Alexandria
Functional: meta-GGA SCAN
Structure: single point on PBEsol structure

The calculation puts the calculated density at 9.7 g/cm3. The value obtained for the total DFT energy (no corrections) is -24.886 eV per atom. Its calculated formation energy is -0.224 eV/atom.

The structure belongs to space group Imm2 (No. 44); the cell edges are 2.818, 4.134 and 8.275 Å and the angles 90.00°, 90.00° and 90.00°. The asymmetric unit holds Fe at (0.000, 0.000, 0.000), Tc at (0.000, 0.000, 0.442), Tc at (0.000, 0.500, 0.221) and P at (0.000, 0.500, 0.705).



No. 7
Compound: FeTc2P
Source: Alexandria
Functional: meta-GGA SCAN
Structure: single point on PBEsol structure

The calculation puts the calculated density at 9.3 g/cm3. The value obtained for the total DFT energy (no corrections) is -24.648 eV per atom. Its calculated formation energy is 0.014 eV/atom.

The structure belongs to space group R-3m (No. 166, hexagonal axes); the cell edges are 2.7362, 2.7362 and 23.4302 Å and the angles 90.00°, 90.00° and 120.00°. The asymmetric unit holds Fe at (0.0000, 0.0000, 0.0000), Tc at (0.0000, 0.0000, 0.2469) and P at (0.0000, 0.0000, 0.5000).



No. 8
Compound: Fe2TeP2
Source: Alexandria
Functional: meta-GGA SCAN
Structure: single point on PBEsol structure

The calculation puts the calculated density at 7.0 g/cm3. The value obtained for the total DFT energy (no corrections) is -18.858 eV per atom.

The structure belongs to space group I4/mmm (No. 139); the cell edges are 3.493, 3.493 and 11.645 Å and the angles 90.00°, 90.00° and 90.00°. The asymmetric unit holds Fe at (0.000, 0.000, 0.137), Te at (0.000, 0.000, 0.500) and P at (0.000, 0.500, 0.250).



No. 9
Compound: FeTe2P
Source: Alexandria
Functional: meta-GGA SCAN
Structure: single point on PBEsol structure

The calculation puts the calculated density at 6.2 g/cm3. The value obtained for the total DFT energy (no corrections) is -25.239 eV per atom.

The structure belongs to space group R-3m (No. 166, hexagonal axes); the cell edges are 3.5925, 3.5925 and 24.4572 Å and the angles 90.00°, 90.00° and 120.00°. The asymmetric unit holds Fe at (0.0000, 0.0000, 0.0000), Te at (0.0000, 0.0000, 0.3904) and P at (0.0000, 0.0000, 0.5000).



No. 10
Compound: FeTe2P
Source: Alexandria
Functional: meta-GGA SCAN
Structure: single point on PBEsol structure

The calculation puts the calculated density at 7.5 g/cm3. The value obtained for the total DFT energy (no corrections) is -25.084 eV per atom.

The structure belongs to space group P4/mmm (No. 123); the cell edges are 4.840, 4.840 and 3.249 Å and the angles 90.00°, 90.00° and 90.00°. The asymmetric unit holds Fe at (0.000, 0.000, 0.000), Te at (0.000, 0.500, 0.500) and P at (0.500, 0.500, 0.000).



No. 11
Compound: FeTe2P
Source: Alexandria
Functional: meta-GGA SCAN
Structure: single point on PBEsol structure

The calculation puts the calculated density at 7.0 g/cm3. The value obtained for the total DFT energy (no corrections) is -25.540 eV per atom.

The structure belongs to space group P4/mmm (No. 123); the cell edges are 3.864, 3.864 and 5.416 Å and the angles 90.00°, 90.00° and 90.00°. The asymmetric unit holds Fe at (0.000, 0.000, 0.000), Te at (0.000, 0.000, 0.500), Te at (0.500, 0.500, 0.000) and P at (0.500, 0.500, 0.500).



No. 12
Compound: Ti3Fe5P4
Source: Alexandria
Functional: meta-GGA SCAN
Structure: single point on PBEsol structure

The calculation puts the calculated density at 6.6 g/cm3. The value obtained for the total DFT energy (no corrections) is -15.890 eV per atom. Its calculated formation energy is -0.863 eV/atom.

The structure belongs to space group Pm (No. 6); the cell edges are 5.856, 3.540 and 6.629 Å and the angles 90.00°, 90.83° and 90.00°. The asymmetric unit holds Ti at (0.000, 0.000, 0.000), Ti at (0.045, 0.500, 0.639), Ti at (0.505, 0.000, 0.150), Fe at (0.178, 0.500, 0.264), Fe at (0.383, 0.000, 0.761), Fe at (0.561, 0.500, 0.498), Fe at (0.672, 0.500, 0.881), Fe at (0.882, 0.000, 0.384), P at (0.263, 0.000, 0.449), P at (0.299, 0.500, 0.944), P at (0.741, 0.000, 0.688) and P at (0.800, 0.500, 0.210).



One value per record, in order, for N(E_F): 5.30 4.54 7.63 5.05 6.08 4.56 8.16 2.88 11.25 2.66 1.81 5.56 states/eV/cell.